Entry P
# meta-GGA SCAN TaAgRh, single point on PBEsol structure
# V in A^3/atom: 15.8
# Crystal system: trigonal
data_TaAgRh
_chemical_formula_sum 'Ta1 Ag1 Rh1'
_space_group_name_H-M_alt 'P 3 m 1'
_space_group_IT_number 156
_cell_length_a 4.4176
_cell_length_b 4.4176
_cell_length_c 2.7989
_cell_angle_alpha 90.00
_cell_angle_beta 90.00
_cell_angle_gamma 120.00
loop_
_space_group_symop_operation_xyz
'x,y,z'
'-y,x-y,z'
'-x+y,-x,z'
'-y,-x,z'
'-x+y,y,z'
'x,x-y,z'
loop_
_atom_site_label
_atom_site_type_symbol
_atom_site_fract_x
_atom_site_fract_y
_atom_site_fract_z
_atom_site_occupancy
Ta1 Ta 0.0000 0.0000 0.0000 1
Ag1 Ag 0.3333 0.6667 0.5982 1
Rh1 Rh 0.6667 0.3333 0.2070 1

***

Entry Q
# meta-GGA SCAN TaAgRh, single point on PBEsol structure
# V in A^3/atom: 15.6
# Crystal system: orthorhombic
data_TaAgRh
_chemical_formula_sum 'Ta2 Ag2 Rh2'
_space_group_name_H-M_alt 'I m m 2'
_space_group_IT_number 44
_cell_length_a 2.8642
_cell_length_b 3.8429
_cell_length_c 8.4805
_cell_angle_alpha 90.00
_cell_angle_beta 90.00
_cell_angle_gamma 90.00
loop_
_space_group_symop_operation_xyz
'x,y,z'
'-x,-y,z'
'-x,y,z'
'x,-y,z'
'x+1/2,y+1/2,z+1/2'
'-x+1/2,-y+1/2,z+1/2'
'-x+1/2,y+1/2,z+1/2'
'x+1/2,-y+1/2,z+1/2'
loop_
_atom_site_label
_atom_site_type_symbol
_atom_site_fract_x
_atom_site_fract_y
_atom_site_fract_z
_atom_site_occupancy
Ta1 Ta 0.0000 0.0000 0.0000 1
Ag1 Ag 0.0000 0.0000 0.6751 1
Rh1 Rh 0.0000 0.0000 0.3449 1

***

Decreasing stability: entry Q, entry P

***

Entry P
# meta-GGA SCAN TaAg2Rh, single point on PBEsol structure
# V in A^3/atom: 15.8
# Crystal system: monoclinic
data_TaAg2Rh
_chemical_formula_sum 'Ta2 Ag4 Rh2'
_space_group_name_H-M_alt 'C 1 2/m 1'
_space_group_IT_number 12
_cell_length_a 9.7255
_cell_length_b 2.8473
_cell_length_c 4.6369
_cell_angle_alpha 90.00
_cell_angle_beta 100.41
_cell_angle_gamma 90.00
loop_
_space_group_symop_operation_xyz
'x,y,z'
'-x,-y,-z'
'-x,y,-z'
'x,-y,z'
'x+1/2,y+1/2,z'
'-x+1/2,-y+1/2,-z'
'-x+1/2,y+1/2,-z'
'x+1/2,-y+1/2,z'
loop_
_atom_site_label
_atom_site_type_symbol
_atom_site_fract_x
_atom_site_fract_y
_atom_site_fract_z
_atom_site_occupancy
Ta1 Ta 0.0000 0.0000 0.0000 1
Ag1 Ag 0.2471 0.0000 0.7479 1
Rh1 Rh 0.0000 0.5000 0.5000 1

***

Entry Q
# meta-GGA SCAN TaAg2Rh, single point on PBEsol structure
# V in A^3/atom: 15.6
# Crystal system: orthorhombic
data_TaAg2Rh
_chemical_formula_sum 'Ta2 Ag4 Rh2'
_space_group_name_H-M_alt 'I m m 2'
_space_group_IT_number 44
_cell_length_a 3.9670
_cell_length_b 3.9787
_cell_length_c 7.9064
_cell_angle_alpha 90.00
_cell_angle_beta 90.00
_cell_angle_gamma 90.00
loop_
_space_group_symop_operation_xyz
'x,y,z'
'-x,-y,z'
'-x,y,z'
'x,-y,z'
'x+1/2,y+1/2,z+1/2'
'-x+1/2,-y+1/2,z+1/2'
'-x+1/2,y+1/2,z+1/2'
'x+1/2,-y+1/2,z+1/2'
loop_
_atom_site_label
_atom_site_type_symbol
_atom_site_fract_x
_atom_site_fract_y
_atom_site_fract_z
_atom_site_occupancy
Ta1 Ta 0.0000 0.0000 0.0000 1
Ag1 Ag 0.0000 0.0000 0.5004 1
Ag2 Ag 0.0000 0.5000 0.7502 1
Rh1 Rh 0.0000 0.5000 0.2506 1

***

Decreasing stability: entry P, entry Q

***

Entry P
# meta-GGA SCAN Tc2AgRh, single point on PBEsol structure
# V in A^3/atom: 14.3
# Crystal system: tetragonal
data_Tc2AgRh
_chemical_formula_sum 'Tc4 Ag2 Rh2'
_space_group_name_H-M_alt 'I -4 m 2'
_space_group_IT_number 119
_space_group_name_Hall 'I -4 -2'
_cell_length_a 3.8784
_cell_length_b 3.8784
_cell_length_c 7.5951
_cell_angle_alpha 90.00
_cell_angle_beta 90.00
_cell_angle_gamma 90.00
loop_
_atom_site_label
_atom_site_type_symbol
_atom_site_fract_x
_atom_site_fract_y
_atom_site_fract_z
_atom_site_occupancy
Tc1 Tc 0.0000 0.0000 0.0000 1
Tc2 Tc 0.0000 0.5000 0.2500 1
Ag1 Ag 0.0000 0.0000 0.5000 1
Rh1 Rh 0.0000 0.5000 0.7500 1

***

Entry Q
# meta-GGA SCAN Tc2AgRh, single point on PBEsol structure
# V in A^3/atom: 14.3
# Crystal system: monoclinic
data_Tc2AgRh
_chemical_formula_sum 'Tc4 Ag2 Rh2'
_space_group_name_H-M_alt 'C 1 2/m 1'
_space_group_IT_number 12
_cell_length_a 9.2137
_cell_length_b 2.7082
_cell_length_c 4.6658
_cell_angle_alpha 90.00
_cell_angle_beta 100.16
_cell_angle_gamma 90.00
loop_
_space_group_symop_operation_xyz
'x,y,z'
'-x,-y,-z'
'-x,y,-z'
'x,-y,z'
'x+1/2,y+1/2,z'
'-x+1/2,-y+1/2,-z'
'-x+1/2,y+1/2,-z'
'x+1/2,-y+1/2,z'
loop_
_atom_site_label
_atom_site_type_symbol
_atom_site_fract_x
_atom_site_fract_y
_atom_site_fract_z
_atom_site_occupancy
Tc1 Tc 0.2428 0.0000 0.2362 1
Ag1 Ag 0.0000 0.0000 0.5000 1
Rh1 Rh 0.0000 0.5000 0.0000 1

***

Entry R
# meta-GGA SCAN Tc2AgRh, single point on PBEsol structure
# V in A^3/atom: 14.5
# Crystal system: tetragonal
data_Tc2AgRh
_chemical_formula_sum 'Tc2 Ag1 Rh1'
_space_group_name_H-M_alt 'P 4 m m'
_space_group_IT_number 99
_cell_length_a 2.7256
_cell_length_b 2.7256
_cell_length_c 7.7823
_cell_angle_alpha 90.00
_cell_angle_beta 90.00
_cell_angle_gamma 90.00
loop_
_space_group_symop_operation_xyz
'x,y,z'
'-y,x,z'
'-x,-y,z'
'y,-x,z'
'-x,y,z'
'y,x,z'
'x,-y,z'
'-y,-x,z'
loop_
_atom_site_label
_atom_site_type_symbol
_atom_site_fract_x
_atom_site_fract_y
_atom_site_fract_z
_atom_site_occupancy
Tc1 Tc 0.0000 0.0000 0.0000 1
Tc2 Tc 0.5000 0.5000 0.2300 1
Ag1 Ag 0.0000 0.0000 0.5021 1
Rh1 Rh 0.5000 0.5000 0.7668 1

***

Decreasing stability: entry R, entry Q, entry P

***

Entry P
# meta-GGA SCAN AgTeRh, single point on PBEsol structure
# V in A^3/atom: 20.2
# Crystal system: trigonal
data_AgTeRh
_chemical_formula_sum 'Ag1 Te1 Rh1'
_space_group_name_H-M_alt 'P 3 m 1'
_space_group_IT_number 156
_cell_length_a 3.4350
_cell_length_b 3.4350
_cell_length_c 5.9309
_cell_angle_alpha 90.00
_cell_angle_beta 90.00
_cell_angle_gamma 120.00
loop_
_space_group_symop_operation_xyz
'x,y,z'
'-y,x-y,z'
'-x+y,-x,z'
'-y,-x,z'
'-x+y,y,z'
'x,x-y,z'
loop_
_atom_site_label
_atom_site_type_symbol
_atom_site_fract_x
_atom_site_fract_y
_atom_site_fract_z
_atom_site_occupancy
Ag1 Ag 0.0000 0.0000 0.0000 1
Te1 Te 0.6667 0.3333 0.4183 1
Rh1 Rh 0.3333 0.6667 0.6805 1

***

Entry Q
# meta-GGA SCAN AgTeRh, single point on PBEsol structure
# V in A^3/atom: 20.4
# Crystal system: cubic
data_AgTeRh
_chemical_formula_sum 'Ag4 Te4 Rh4'
_space_group_name_H-M_alt 'F -4 3 m'
_space_group_IT_number 216
_space_group_name_Hall 'F -4 2 3'
_cell_length_a 6.2549
_cell_length_b 6.2549
_cell_length_c 6.2549
_cell_angle_alpha 90.00
_cell_angle_beta 90.00
_cell_angle_gamma 90.00
loop_
_atom_site_label
_atom_site_type_symbol
_atom_site_fract_x
_atom_site_fract_y
_atom_site_fract_z
_atom_site_occupancy
Ag1 Ag 0.0000 0.0000 0.0000 1
Te1 Te 0.2500 0.2500 0.7500 1
Rh1 Rh 0.2500 0.2500 0.2500 1

***

Entry R
# meta-GGA SCAN AgTeRh, single point on PBEsol structure
# V in A^3/atom: 18.3
# Crystal system: hexagonal
data_AgTeRh
_chemical_formula_sum 'Ag1 Te1 Rh1'
_space_group_name_H-M_alt 'P -6 m 2'
_space_group_IT_number 187
_space_group_name_Hall 'P -6 2'
_cell_length_a 4.4643
_cell_length_b 4.4643
_cell_length_c 3.1861
_cell_angle_alpha 90.00
_cell_angle_beta 90.00
_cell_angle_gamma 120.00
loop_
_atom_site_label
_atom_site_type_symbol
_atom_site_fract_x
_atom_site_fract_y
_atom_site_fract_z
_atom_site_occupancy
Ag1 Ag 0.0000 0.0000 0.0000 1
Te1 Te 0.3333 0.6667 0.5000 1
Rh1 Rh 0.6667 0.3333 0.5000 1

***

Decreasing stability: entry P, entry R, entry Q

***

Entry P
# meta-GGA SCAN Tl2AgRh, single point on PBEsol structure
# V in A^3/atom: 20.4
# Crystal system: monoclinic
data_Tl2AgRh
_chemical_formula_sum 'Tl4 Ag2 Rh2'
_space_group_name_H-M_alt 'C 1 m 1'
_space_group_IT_number 8
_cell_length_a 12.6984
_cell_length_b 3.0555
_cell_length_c 4.4963
_cell_angle_alpha 90.00
_cell_angle_beta 110.64
_cell_angle_gamma 90.00
loop_
_space_group_symop_operation_xyz
'x,y,z'
'x,-y,z'
'x+1/2,y+1/2,z'
'x+1/2,-y+1/2,z'
loop_
_atom_site_label
_atom_site_type_symbol
_atom_site_fract_x
_atom_site_fract_y
_atom_site_fract_z
_atom_site_occupancy
Tl1 Tl 0.0000 0.0000 0.0000 1
Tl2 Tl 0.2161 0.0000 0.7159 1
Ag1 Ag 0.3977 0.0000 0.3979 1
Rh1 Rh 0.1997 0.5000 0.1996 1

***

Entry Q
# meta-GGA SCAN Tl2AgRh, single point on PBEsol structure
# V in A^3/atom: 19.4
# Crystal system: orthorhombic
data_Tl2AgRh
_chemical_formula_sum 'Tl2 Ag1 Rh1'
_space_group_name_H-M_alt 'P m m 2'
_space_group_IT_number 25
_cell_length_a 3.3967
_cell_length_b 3.9444
_cell_length_c 5.7823
_cell_angle_alpha 90.00
_cell_angle_beta 90.00
_cell_angle_gamma 90.00
loop_
_space_group_symop_operation_xyz
'x,y,z'
'-x,-y,z'
'-x,y,z'
'x,-y,z'
loop_
_atom_site_label
_atom_site_type_symbol
_atom_site_fract_x
_atom_site_fract_y
_atom_site_fract_z
_atom_site_occupancy
Tl1 Tl 0.0000 0.0000 0.0000 1
Tl2 Tl 0.5000 0.5000 0.3188 1
Ag1 Ag 0.0000 0.0000 0.5336 1
Rh1 Rh 0.5000 0.5000 0.8031 1

***

Decreasing stability: entry P, entry Q

***

Entry P
# meta-GGA SCAN Tl2AgRh, single point on PBEsol structure
# V in A^3/atom: 18.8
# Crystal system: tetragonal
data_Tl2AgRh
_chemical_formula_sum 'Tl4 Ag2 Rh2'
_space_group_name_H-M_alt 'I -4 m 2'
_space_group_IT_number 119
_space_group_name_Hall 'I -4 -2'
_cell_length_a 4.0137
_cell_length_b 4.0137
_cell_length_c 9.3556
_cell_angle_alpha 90.00
_cell_angle_beta 90.00
_cell_angle_gamma 90.00
loop_
_atom_site_label
_atom_site_type_symbol
_atom_site_fract_x
_atom_site_fract_y
_atom_site_fract_z
_atom_site_occupancy
Tl1 Tl 0.0000 0.0000 0.0000 1
Tl2 Tl 0.0000 0.5000 0.2500 1
Ag1 Ag 0.0000 0.0000 0.5000 1
Rh1 Rh 0.0000 0.5000 0.7500 1

***

Entry Q
# meta-GGA SCAN Tl2AgRh, single point on PBEsol structure
# V in A^3/atom: 19.0
# Crystal system: orthorhombic
data_Tl2AgRh
_chemical_formula_sum 'Tl2 Ag1 Rh1'
_space_group_name_H-M_alt 'P m m m'
_space_group_IT_number 47
_cell_length_a 3.1896
_cell_length_b 3.4553
_cell_length_c 6.8798
_cell_angle_alpha 90.00
_cell_angle_beta 90.00
_cell_angle_gamma 90.00
loop_
_space_group_symop_operation_xyz
'x,y,z'
'-x,-y,-z'
'-x,-y,z'
'x,y,-z'
'x,-y,-z'
'-x,y,z'
'-x,y,-z'
'x,-y,z'
loop_
_atom_site_label
_atom_site_type_symbol
_atom_site_fract_x
_atom_site_fract_y
_atom_site_fract_z
_atom_site_occupancy
Tl1 Tl 0.0000 0.0000 0.2328 1
Ag1 Ag 0.5000 0.5000 0.5000 1
Rh1 Rh 0.5000 0.5000 0.0000 1

***

Decreasing stability: entry P, entry Q